# 1
Density functional theory data (PBE-GGA) for Th3GeSe3 after structural relaxation.

Properties
Formation energy without anion corrections ... -1.355 eV/atom
Distance to the lowest polymorph of the same formula ... 0.0000 eV/atom

a = 8.480 Å, b = 8.482 Å, c = 11.878 Å
α = 90.00°, β = 90.00°, γ = 90.00°
Space group Imma (No. 74)
Inequivalent atoms, fractional coordinates:
Th 0.000 0.250 0.004 (multiplicity 4)
Th 0.250 0.007 0.250 (multiplicity 8)
Ge 0.000 0.250 0.255 (multiplicity 4)
Se 0.000 0.250 0.747 (multiplicity 4)
Se 0.248 0.000 0.000 (multiplicity 8)

***

# 2
Density functional theory data (PBE-GGA) for TaTi2Pd after structural relaxation.

Properties
Energy of formation from the pure elements ... -32 kJ/mol of atoms
Distance to the lowest polymorph of the same formula ... 0.0000 eV/atom

a = 3.182 Å, b = 3.182 Å, c = 6.555 Å
α = 90.00°, β = 90.00°, γ = 90.00°
Space group P4/mmm (No. 123)
Inequivalent atoms, fractional coordinates:
Ta 0.000 0.000 0.000 (multiplicity 1)
Ti 0.500 0.500 0.252 (multiplicity 2)
Pd 0.000 0.000 0.500 (multiplicity 1)

***

# 3
Density functional theory data (PBE-GGA) for Pm4SiAs3 after structural relaxation.

Properties
Formation energy without anion corrections ... -1.248 eV/atom

a = 5.988 Å, b = 5.988 Å, c = 5.988 Å
α = 90.00°, β = 90.00°, γ = 90.00°
Space group Pm-3m (No. 221)
Inequivalent atoms, fractional coordinates:
Pm 0.000 0.000 0.000 (multiplicity 1)
Pm 0.000 0.500 0.500 (multiplicity 3)
Si 0.500 0.500 0.500 (multiplicity 1)
As 0.000 0.000 0.500 (multiplicity 3)

***

# 4
Density functional theory data (PBE-GGA) for CaCeSc2 after structural relaxation.

Properties
Energy of formation from the pure elements ... 22 kJ/mol of atoms
Distance to the lowest polymorph of the same formula ... 0.0960 eV/atom

a = 3.3643 Å, b = 3.3643 Å, c = 34.9513 Å
α = 90.00°, β = 90.00°, γ = 120.00°
Space group R-3m (No. 166, hexagonal axes)
Inequivalent atoms, fractional coordinates:
Ca 0.0000 0.0000 0.0000 (multiplicity 3)
Ce 0.0000 0.0000 0.5000 (multiplicity 3)
Sc 0.0000 0.0000 0.0918 (multiplicity 6)